Below is a relaxed structure of Li2VCrO4, with properties calculated at the GGA+U level.

Output
VASP energy   -6.91 eV/atom
Excess energy over the best structure of this formula in the dataset   1 meV per atom
Theoretical density   3.99 g cm⁻³

```
data_Li2VCrO4
_symmetry_space_group_name_H-M 'P 1'
_symmetry_Int_Tables_number 1
_symmetry_space_group_name_Hall 'P 1'
_cell_length_a 5.1637
_cell_length_b 5.1746
_cell_length_c 8.9575
_cell_angle_alpha 90.04
_cell_angle_beta 106.75
_cell_angle_gamma 99.55
loop_
_atom_site_label
_atom_site_type_symbol
_atom_site_fract_x
_atom_site_fract_y
_atom_site_fract_z
Li1 Li 0.0000 0.0000 0.0000
Li2 Li 0.9997 0.0013 0.6651
Li3 Li 0.0001 0.4931 0.1691
Li4 Li 0.9995 0.4932 0.5001
Li5 Li 0.0020 0.0080 0.3334
Li6 Li 0.9970 0.5042 0.8279
V1 V 0.4996 0.2505 0.9162
V2 V 0.4996 0.7494 0.0827
V3 V 0.4999 0.7499 0.4154
Cr1 Cr 0.4998 0.2496 0.2504
Cr2 Cr 0.4998 0.2500 0.5823
Cr3 Cr 0.4995 0.7506 0.7480
O1 O 0.2711 0.3777 0.0468
O2 O 0.2724 0.8788 0.8765
O3 O 0.2717 0.8809 0.2118
O4 O 0.2728 0.3736 0.3782
O5 O 0.2741 0.3818 0.7099
O6 O 0.2749 0.8811 0.5459
O7 O 0.7245 0.6194 0.6207
O8 O 0.7252 0.1194 0.7850
O9 O 0.7271 0.1261 0.4538
O10 O 0.7267 0.6218 0.9518
O11 O 0.7279 0.1214 0.1227
O12 O 0.7277 0.6180 0.2877
```